(1)
Material: Ta2Ni2Pt
Method: DFT, meta-GGA SCAN
State: single point on PBEsol structure

Summary:
Its calculated volume is 140.8 Å³ per cell. The value obtained for the density of states at the Fermi level is 5.43 states/eV per cell. The value obtained for the formation energy is -11.62 kcal/mol of atoms.

abc: 6.593 6.593 3.239
angles: 90.00 90.00 90.00
Positions (direct):
Ta: 0.174 0.326 0.000
Ta: 0.326 0.826 0.000
Ta: 0.674 0.174 0.000
Ta: 0.826 0.674 0.000
Ni: 0.126 0.626 0.500
Ni: 0.374 0.126 0.500
Ni: 0.626 0.874 0.500
Ni: 0.874 0.374 0.500
Pt: 0.000 0.000 0.500
Pt: 0.500 0.500 0.500


(2)
Material: TaNi3Pt
Method: DFT, meta-GGA SCAN
State: single point on PBEsol structure

Summary:
Its calculated volume is 85.0 Å³ per cell. The value obtained for the density of states at the Fermi level is 7.68 states/eV per cell. The value obtained for the formation energy is 35.17 kcal/mol of atoms.

abc: 4.397 4.397 4.397
angles: 90.00 90.00 90.00
Positions (direct):
Ta: 0.000 0.000 0.000
Ni: 0.000 0.500 0.500
Ni: 0.500 0.000 0.500
Ni: 0.500 0.500 0.000
Pt: 0.500 0.500 0.500


(3)
Material: TaNi2Pt
Method: DFT, meta-GGA SCAN
State: single point on PBEsol structure

Summary:
Its calculated volume is 52.5 Å³ per cell. The value obtained for the density of states at the Fermi level is 1.49 states/eV per cell. The value obtained for the formation energy is -12.12 kcal/mol of atoms.

abc: 4.565 4.565 4.565
angles: 131.32 131.32 71.31
Positions (direct):
Ta: 0.000 0.000 0.000
Ni: 0.250 0.750 0.500
Ni: 0.750 0.250 0.500
Pt: 0.500 0.500 0.000


(4)
Material: TaNiPt
Method: DFT, meta-GGA SCAN
State: single point on PBEsol structure

Summary:
Its calculated volume is 43.2 Å³ per cell. The value obtained for the relative energy among the computed polymorphs is 0 meV/atom. The value obtained for the density of states at the Fermi level is 1.10 states/eV per cell. The value obtained for the formation energy is -14.92 kcal/mol of atoms.

abc: 4.682 4.682 4.682
angles: 139.31 139.31 58.91
Positions (direct):
Ta: 0.000 0.000 0.000
Ni: 0.657 0.657 0.000
Pt: 0.329 0.329 0.000


(5)
Material: TaNiPt
Method: DFT, meta-GGA SCAN
State: single point on PBEsol structure

Summary:
Its calculated volume is 42.6 Å³ per cell. The value obtained for the relative energy among the computed polymorphs is 30 meV/atom. The value obtained for the density of states at the Fermi level is 1.75 states/eV per cell. The value obtained for the formation energy is -14.23 kcal/mol of atoms.

abc: 4.720 4.720 4.720
angles: 145.11 134.38 58.69
Positions (direct):
Ta: 0.000 0.000 0.000
Ni: 0.658 0.658 0.000
Pt: 0.325 0.325 0.000


(6)
Material: TaNi2Pt
Method: DFT, meta-GGA SCAN
State: single point on PBEsol structure

Summary:
Its calculated volume is 52.5 Å³ per cell. The value obtained for the density of states at the Fermi level is 1.68 states/eV per cell. The value obtained for the formation energy is -13.50 kcal/mol of atoms.

abc: 4.654 4.654 4.654
angles: 133.26 133.26 68.24
Positions (direct):
Ta: 0.000 0.000 0.000
Ni: 0.500 0.500 0.000
Ni: 0.750 0.250 0.500
Pt: 0.250 0.750 0.500


(7)
Material: TaNiPt
Method: DFT, meta-GGA SCAN
State: single point on PBEsol structure

Summary:
Its calculated volume is 43.5 Å³ per cell. The value obtained for the relative energy among the computed polymorphs is 499 meV/atom. The value obtained for the density of states at the Fermi level is 3.05 states/eV per cell. The value obtained for the formation energy is -3.41 kcal/mol of atoms.

abc: 2.788 2.788 6.455
angles: 90.00 90.00 120.00
Positions (direct):
Ta: 0.000 0.000 0.000
Ni: 0.333 0.667 0.679
Pt: 0.667 0.333 0.351


(8)
Material: TaNi4Pt
Method: DFT, meta-GGA SCAN
State: single point on PBEsol structure

Summary:
Its calculated volume is 71.7 Å³ per cell. The value obtained for the density of states at the Fermi level is 3.95 states/eV per cell. The value obtained for the formation energy is -8.90 kcal/mol of atoms.

abc: 4.663 4.663 4.663
angles: 60.00 60.00 60.00
Positions (direct):
Ta: 0.000 0.000 0.000
Ni: 0.375 0.375 0.375
Ni: 0.375 0.375 0.874
Ni: 0.375 0.874 0.375
Ni: 0.874 0.375 0.375
Pt: 0.750 0.750 0.750


(9)
Material: TaNi6Pt
Method: DFT, meta-GGA SCAN
State: single point on PBEsol structure

Summary:
Its calculated volume is 375.6 Å³ per cell. The value obtained for the density of states at the Fermi level is 22.90 states/eV per cell. The value obtained for the formation energy is -4.11 kcal/mol of atoms.

abc: 6.249 6.249 10.210
angles: 90.00 90.00 109.60
Positions (direct):
Ta: 0.000 0.000 0.247
Ta: 0.000 0.000 0.753
Ta: 0.247 0.753 0.500
Ta: 0.753 0.247 0.500
Ni: 0.000 0.000 0.000
Ni: 0.000 0.000 0.500
Ni: 0.125 0.374 0.126
Ni: 0.125 0.374 0.874
Ni: 0.125 0.375 0.376
Ni: 0.125 0.375 0.624
Ni: 0.248 0.752 0.254
Ni: 0.248 0.752 0.746
Ni: 0.374 0.125 0.126
Ni: 0.374 0.125 0.874
Ni: 0.375 0.125 0.376
Ni: 0.375 0.125 0.624
Ni: 0.500 0.500 0.000
Ni: 0.500 0.500 0.500
Ni: 0.625 0.875 0.376
Ni: 0.625 0.875 0.624
Ni: 0.626 0.875 0.126
Ni: 0.626 0.875 0.874
Ni: 0.752 0.248 0.254
Ni: 0.752 0.248 0.746
Ni: 0.875 0.625 0.376
Ni: 0.875 0.625 0.624
Ni: 0.875 0.626 0.126
Ni: 0.875 0.626 0.874
Pt: 0.245 0.755 0.000
Pt: 0.500 0.500 0.246
Pt: 0.500 0.500 0.754
Pt: 0.755 0.245 0.000


(10)
Material: TcNiPt2
Method: DFT, meta-GGA SCAN
State: single point on PBEsol structure

Summary:
Its calculated volume is 54.5 Å³ per cell. The value obtained for the relative energy among the computed polymorphs is 100 meV/atom. The value obtained for the density of states at the Fermi level is 4.84 states/eV per cell. The value obtained for the formation energy is -2.35 kcal/mol of atoms.

abc: 2.672 4.341 4.702
angles: 90.00 90.00 90.00
Positions (direct):
Tc: 0.000 0.000 0.000
Ni: 0.000 0.500 0.687
Pt: 0.500 0.000 0.516
Pt: 0.500 0.500 0.176


(11)
Material: TcNiPt2
Method: DFT, meta-GGA SCAN
State: single point on PBEsol structure

Summary:
Its calculated volume is 54.1 Å³ per cell. The value obtained for the relative energy among the computed polymorphs is 41 meV/atom. The value obtained for the density of states at the Fermi level is 3.05 states/eV per cell. The value obtained for the formation energy is -3.70 kcal/mol of atoms.

abc: 4.667 4.667 4.667
angles: 132.59 132.59 69.30
Positions (direct):
Tc: 0.000 0.000 0.000
Ni: 0.500 0.500 0.000
Pt: 0.250 0.750 0.500
Pt: 0.750 0.250 0.500


(12)
Material: Tc2NiPt
Method: DFT, meta-GGA SCAN
State: single point on PBEsol structure

Summary:
Its calculated volume is 54.5 Å³ per cell. The value obtained for the density of states at the Fermi level is 7.64 states/eV per cell. The value obtained for the formation energy is 8.41 kcal/mol of atoms.

abc: 4.256 4.256 4.256
angles: 60.00 60.00 60.00
Positions (direct):
Tc: 0.250 0.250 0.250
Tc: 0.750 0.750 0.750
Ni: 0.000 0.000 0.000
Pt: 0.500 0.500 0.500


(13)
Material: TcNiPt
Method: DFT, meta-GGA SCAN
State: single point on PBEsol structure

Summary:
Its calculated volume is 39.2 Å³ per cell. The value obtained for the relative energy among the computed polymorphs is 23 meV/atom. The value obtained for the density of states at the Fermi level is 2.55 states/eV per cell. The value obtained for the formation energy is -2.92 kcal/mol of atoms.

abc: 5.807 5.807 5.807
angles: 153.41 153.41 37.96
Positions (direct):
Tc: 0.000 0.000 0.000
Ni: 0.652 0.652 0.000
Pt: 0.323 0.323 0.000


(14)
Material: TcNiPt
Method: DFT, meta-GGA SCAN
State: single point on PBEsol structure

Summary:
Its calculated volume is 44.0 Å³ per cell. The value obtained for the relative energy among the computed polymorphs is 463 meV/atom. The value obtained for the density of states at the Fermi level is 2.72 states/eV per cell. The value obtained for the formation energy is 7.22 kcal/mol of atoms.

abc: 3.964 3.964 3.964
angles: 60.00 60.00 60.00
Positions (direct):
Tc: 0.000 0.000 0.000
Ni: 0.750 0.750 0.750
Pt: 0.500 0.500 0.500